VASP calculation (PBE-GGA) on an optimized crystal structure of AgB2F.

Values from the calculation:
- Raw formation energy: 1.311 eV per atom
- N(E_F): 1.46 states/eV/f.u.
- Spin magnetization: 0.000 μB per atom
- E above lowest polymorph: 186 meV per atom

extended XYZ file:
```
4
Lattice="0.000 2.855 2.855 2.855 0.000 2.855 2.855 2.855 0.000" Properties=species:S:1:pos:R:3 pbc="T T T"
Ag 0.000 0.000 0.000
B 1.428 1.428 1.428
B 4.283 4.283 4.283
F 2.855 2.855 2.855
```